! TmTh2Pd6 PBE optimized geometry; values from VASP
&SYSTEM
  ibrav = 0, nat = 9, ntyp = 3
/
ATOMIC_SPECIES
Tm 168.93 Tm.upf
Th 232.04 Th.upf
Pd 106.42 Pd.upf
ATOMIC_POSITIONS crystal
Tm 0.000 0.000 0.000
Th 0.501 0.693 0.386
Th 0.499 0.307 0.614
Pd 0.001 0.364 0.314
Pd 0.999 0.050 0.686
Pd 0.999 0.636 0.686
Pd 0.500 0.298 0.000
Pd 0.001 0.950 0.314
Pd 0.500 0.702 0.000
CELL_PARAMETERS angstrom
3.615 0.000 0.437
0.000 7.556 0.000
-0.847 -3.778 7.069
! crystal system: monoclinic
! magnetic moment: 0.00 μB per cell
! uncorrected energy: -6.2557 eV per atom